InRe2Tc2 (PBEsol, optimized geometry); mass density = 12.8 g/cm3; DOS at the Fermi energy = 3.784 states/eV/cell; size of the total moment = 0.00 μB per formula unit; energy = -9.983 eV/atom; volume = 17.7 Å³/atom; energy relative to the elements = 0.453 eV per atom; symmetry = I4/mmm, No. 139
1.0
-2.048 2.048 5.287
2.048 -2.048 5.287
2.048 2.048 -5.287
In Re Tc
1 2 2
Direct
0.000 0.000 0.000
0.383 0.383 0.000
0.617 0.617 0.000
0.250 0.750 0.500
0.750 0.250 0.500

InReTc2 (PBEsol, optimized geometry); mass density = 13.2 g/cm3; DOS at the Fermi energy = 3.611 states/eV/cell; size of the total moment = 0.00 μB per formula unit; energy = -9.253 eV/atom; volume = 15.6 Å³/atom; energy relative to the elements = 0.459 eV per atom; symmetry = Cmm2, No. 35
1.0
1.466 -2.330 0.000
1.466 2.330 0.000
0.000 0.000 9.148
In Re Tc
1 1 2
Direct
0.000 0.000 0.000
0.500 0.500 0.732
0.000 0.000 0.495
0.500 0.500 0.262

InRe2Tc (PBEsol, optimized geometry); mass density = 15.4 g/cm3; DOS at the Fermi energy = 2.978 states/eV/cell; size of the total moment = 0.00 μB per formula unit; energy = -9.722 eV/atom; volume = 15.8 Å³/atom; energy relative to the elements = 0.506 eV per atom; symmetry = Cmmm, No. 65
1.0
1.461 -2.339 0.000
1.461 2.339 0.000
0.000 0.000 9.226
In Re Tc
1 2 1
Direct
0.000 0.000 0.000
0.500 0.500 0.265
0.500 0.500 0.735
0.000 0.000 0.500

InRe2Tc (PBEsol, optimized geometry); mass density = 15.7 g/cm3; DOS at the Fermi energy = 2.739 states/eV/cell; size of the total moment = 0.00 μB per formula unit; energy = -9.868 eV/atom; volume = 15.5 Å³/atom; energy relative to the elements = 0.360 eV per atom; symmetry = Immm, No. 71
1.0
-1.571 2.179 4.514
1.571 -2.179 4.514
1.571 2.179 -4.514
In Re Tc
1 2 1
Direct
0.000 0.000 0.000
0.255 0.755 0.500
0.745 0.245 0.500
0.500 0.500 0.000

InRe2Te (PBEsol, optimized geometry); mass density = 13.4 g/cm3; DOS at the Fermi energy = 2.583 states/eV/cell; E_form (uncorrected) = 0.33 eV per atom; size of the total moment = 0.00 μB per formula unit; energy = -7.963 eV/atom; volume = 19.0 Å³/atom; relative energy among the computed polymorphs = 0.0 meV/atom; symmetry = P4mm, No. 99
1.0
3.004 0.000 0.000
0.000 3.004 0.000
0.000 0.000 8.418
In Re Te
1 2 1
Direct
0.000 0.000 0.000
0.000 0.000 0.421
0.500 0.500 0.238
0.500 0.500 0.659

InRe2Te (PBEsol, optimized geometry); mass density = 14.4 g/cm3; DOS at the Fermi energy = 3.599 states/eV/cell; E_form (uncorrected) = 0.78 eV per atom; size of the total moment = 0.00 μB per formula unit; energy = -7.515 eV/atom; volume = 17.7 Å³/atom; relative energy among the computed polymorphs = 447.4 meV/atom; symmetry = C2/m, No. 12
1.0
4.387 -1.520 0.000
4.387 1.520 0.000
-1.018 0.000 5.315
In Re Te
1 2 1
Direct
0.000 0.000 0.000
0.253 0.253 0.723
0.747 0.747 0.277
0.500 0.500 0.500

In3ReTe (PBEsol, optimized geometry); mass density = 6.5 g/cm3; DOS at the Fermi energy = 3.660 states/eV/cell; E_form (uncorrected) = 1.84 eV per atom; size of the total moment = 3.95 μB per formula unit; energy = -3.325 eV/atom; volume = 33.7 Å³/atom; symmetry = Pm-3m, No. 221
1.0
5.523 0.000 0.000
0.000 5.523 0.000
0.000 0.000 5.523
In Re Te
3 1 1
Direct
0.000 0.000 0.500
0.000 0.500 0.000
0.500 0.000 0.000
0.500 0.500 0.500
0.000 0.000 0.000

TiInRe3 (PBEsol, optimized geometry); mass density = 11.5 g/cm3; DOS at the Fermi energy = 10.527 states/eV/cell; size of the total moment = 0.28 μB per formula unit; energy = -7.427 eV/atom; volume = 20.9 Å³/atom; energy relative to the elements = 2.834 eV per atom; symmetry = Pm-3m, No. 221
1.0
4.710 0.000 0.000
0.000 4.710 0.000
0.000 0.000 4.710
Ti In Re
1 1 3
Direct
0.000 0.000 0.000
0.500 0.500 0.500
0.000 0.500 0.500
0.500 0.000 0.500
0.500 0.500 0.000